Compound: CsDyNiTe3
Source: the Open Quantum Materials Database
Functional: PBE-GGA
Structure: optimized geometry

The structure in CIF format:
```
data_CsDyNiTe3
_symmetry_space_group_name_H-M 'C 1 2/m 1'
_symmetry_Int_Tables_number 12
_cell_length_a 17.1560
_cell_length_b 4.5305
_cell_length_c 10.4464
_cell_angle_alpha 90.00
_cell_angle_beta 90.75
_cell_angle_gamma 90.00
loop_
_symmetry_equiv_pos_as_xyz
'x,y,z'
'-x,-y,-z'
'-x,y,-z'
'x,-y,z'
'x+1/2,y+1/2,z'
'-x+1/2,-y+1/2,-z'
'-x+1/2,y+1/2,-z'
'x+1/2,-y+1/2,z'
loop_
_atom_site_label
_atom_site_type_symbol
_atom_site_fract_x
_atom_site_fract_y
_atom_site_fract_z
_atom_site_occupancy
Cs1 Cs 0.1553 0.0000 0.0922 1
Dy1 Dy 0.1611 0.0000 0.5899 1
Ni1 Ni 0.0054 0.5000 0.3747 1
Te1 Te 0.0000 0.0000 0.5000 1
Te2 Te 0.0000 0.5000 0.0000 1
Te3 Te 0.1131 0.5000 0.7770 1
Te4 Te 0.1625 0.5000 0.3788 1
```

Uncorrected energy ... -99.93 eV per cell
V ... 812 Å³/cell